Record 1
This record from the Alexandria database describes crystalline NaTc2Sb2 at its relaxed geometry. The functional is PBE.

a b c (Å): 7.789 7.789 3.150
angles (deg): 90.00 90.00 90.00
Positions (direct):
Sb1 0.156 0.656 0.500
Sb2 0.656 0.844 0.500
Sb3 0.344 0.156 0.500
Sb4 0.844 0.344 0.500
Tc1 0.363 0.863 0.000
Tc2 0.863 0.637 0.000
Tc3 0.637 0.137 0.000
Tc4 0.137 0.363 0.000
Na1 0.500 0.500 0.000
Na2 0.000 0.000 0.000

Summary:
E above lowest polymorph	68	meV/atom
symmetry	P4/mbm (127)
ΔE_f (raw)	0.143	eV/atom



Record 2
This record from the Alexandria database describes crystalline Zr2AlOs at its relaxed geometry. The functional is PBE.

a b c (Å): 3.278 3.535 6.389
angles (deg): 90.00 90.00 90.00
Positions (direct):
Zr1 0.000 0.000 0.991
Zr2 0.000 0.000 0.509
Al1 0.500 0.500 0.250
Os1 0.500 0.500 0.750

Summary:
symmetry	Pmmm (47)
energy of formation from the pure elements	-0.39	eV/atom



Record 3
This record from the Alexandria database describes crystalline Sc2CrB6 at its relaxed geometry. The functional is PBE.

a b c (Å): 3.372 8.901 11.173
angles (deg): 90.00 90.00 90.00
Site moments in Bohr magnetons follow the coordinates.
Positions (direct):
B1 0.500 0.705 0.763  -0.01
B2 0.500 0.980 0.212  -0.01
B3 0.500 0.054 0.065  -0.01
B4 0.500 0.795 0.263  -0.01
B5 0.500 0.205 0.737  -0.01
B6 0.500 0.401 0.973  0.02
B7 0.500 0.901 0.527  0.02
B8 0.500 0.252 0.080  -0.01
B9 0.500 0.446 0.565  -0.01
B10 0.500 0.946 0.935  -0.01
B11 0.500 0.099 0.473  0.02
B12 0.500 0.295 0.237  -0.01
B13 0.500 0.748 0.920  -0.01
B14 0.500 0.752 0.420  -0.01
B15 0.500 0.869 0.683  -0.01
B16 0.500 0.131 0.317  -0.01
B17 0.500 0.631 0.183  -0.01
B18 0.500 0.369 0.817  -0.01
B19 0.500 0.480 0.288  -0.01
B20 0.500 0.248 0.580  -0.01
B21 0.500 0.554 0.435  -0.01
B22 0.500 0.020 0.788  -0.01
B23 0.500 0.520 0.712  -0.01
B24 0.500 0.599 0.027  0.02
Sc1 0.000 0.943 0.370  0.00
Sc2 0.000 0.677 0.586  -0.03
Sc3 0.000 0.823 0.086  -0.03
Sc4 0.000 0.177 0.914  -0.03
Sc5 0.000 0.557 0.870  0.00
Sc6 0.000 0.057 0.630  0.00
Sc7 0.000 0.443 0.130  0.00
Sc8 0.000 0.323 0.414  -0.03
Cr1 0.000 0.640 0.320  1.20
Cr2 0.000 0.140 0.180  1.20
Cr3 0.000 0.860 0.820  1.20
Cr4 0.000 0.360 0.680  1.20

Summary:
symmetry	Pbam (55)
energy of formation from the pure elements	-0.75	eV/atom



Record 4
This record from the Alexandria database describes crystalline NdMgCuSi at its relaxed geometry. The functional is PBE.

a b c (Å): 4.841 4.841 4.841
angles (deg): 60.00 60.00 60.00
Positions (direct):
Si1 0.750 0.750 0.750
Nd1 0.000 0.000 0.000
Cu1 0.250 0.250 0.250
Mg1 0.500 0.500 0.500

Summary:
symmetry	F-43m (216)
ΔE_f (raw)	-0.267	eV/atom



Record 5
This record from the Alexandria database describes crystalline Li8MgPt2 at its relaxed geometry. The functional is PBE.

a b c (Å): 6.522 6.405 6.405
angles (deg): 48.66 104.63 104.63
Positions (direct):
Pt1 0.226 0.224 0.224
Pt2 0.774 0.776 0.776
Li1 0.826 0.224 0.224
Li2 0.451 0.865 0.381
Li3 0.132 0.417 0.417
Li4 0.868 0.583 0.583
Li5 0.174 0.776 0.776
Li6 0.451 0.381 0.865
Li7 0.549 0.135 0.619
Li8 0.549 0.619 0.135
Mg1 0.000 0.000 0.000

Summary:
symmetry	C2/m (12)
energy of formation from the pure elements	-0.27	eV/atom



Record 6
This record from the Alexandria database describes crystalline Na5Li2Cd12 at its relaxed geometry. The functional is PBE.

a b c (Å): 7.537 8.073 8.440
angles (deg): 61.43 90.91 90.00
Positions (direct):
Cd1 0.749 0.961 0.708
Cd2 0.672 0.182 0.240
Cd3 0.328 0.818 0.760
Cd4 0.898 0.913 0.173
Cd5 0.320 0.448 0.103
Cd6 0.749 0.331 0.708
Cd7 0.251 0.039 0.292
Cd8 0.328 0.422 0.760
Cd9 0.680 0.552 0.897
Cd10 0.251 0.669 0.292
Cd11 0.102 0.087 0.827
Cd12 0.672 0.578 0.240
Na1 0.500 0.000 0.000
Na2 0.575 0.759 0.482
Na3 0.999 0.296 0.407
Na4 0.425 0.241 0.518
Na5 0.001 0.704 0.593
Li1 0.000 0.690 0.000
Li2 0.000 0.310 0.000

Summary:
symmetry	C2/m (12)
energy of formation from the pure elements	-0.10	eV/atom



> Number 4 is which compound?

NdMgCuSi



Copy entry 3 word for word.
This record from the Alexandria database describes crystalline Sc2CrB6 at its relaxed geometry. The functional is PBE.

a b c (Å): 3.372 8.901 11.173
angles (deg): 90.00 90.00 90.00
Site moments in Bohr magnetons follow the coordinates.
Positions (direct):
B1 0.500 0.705 0.763  -0.01
B2 0.500 0.980 0.212  -0.01
B3 0.500 0.054 0.065  -0.01
B4 0.500 0.795 0.263  -0.01
B5 0.500 0.205 0.737  -0.01
B6 0.500 0.401 0.973  0.02
B7 0.500 0.901 0.527  0.02
B8 0.500 0.252 0.080  -0.01
B9 0.500 0.446 0.565  -0.01
B10 0.500 0.946 0.935  -0.01
B11 0.500 0.099 0.473  0.02
B12 0.500 0.295 0.237  -0.01
B13 0.500 0.748 0.920  -0.01
B14 0.500 0.752 0.420  -0.01
B15 0.500 0.869 0.683  -0.01
B16 0.500 0.131 0.317  -0.01
B17 0.500 0.631 0.183  -0.01
B18 0.500 0.369 0.817  -0.01
B19 0.500 0.480 0.288  -0.01
B20 0.500 0.248 0.580  -0.01
B21 0.500 0.554 0.435  -0.01
B22 0.500 0.020 0.788  -0.01
B23 0.500 0.520 0.712  -0.01
B24 0.500 0.599 0.027  0.02
Sc1 0.000 0.943 0.370  0.00
Sc2 0.000 0.677 0.586  -0.03
Sc3 0.000 0.823 0.086  -0.03
Sc4 0.000 0.177 0.914  -0.03
Sc5 0.000 0.557 0.870  0.00
Sc6 0.000 0.057 0.630  0.00
Sc7 0.000 0.443 0.130  0.00
Sc8 0.000 0.323 0.414  -0.03
Cr1 0.000 0.640 0.320  1.20
Cr2 0.000 0.140 0.180  1.20
Cr3 0.000 0.860 0.820  1.20
Cr4 0.000 0.360 0.680  1.20

Summary:
symmetry	Pbam (55)
energy of formation from the pure elements	-0.75	eV/atom